No. 1
Computed, not measured: an optimized crystal structure of Ti2BiPtCl at the GGA-PBE level of DFT.

Results
ΔE_f (raw) = 0.138 eV per atom
Final energy = -5.3740 eV/atom

The structure in CIF format:
```
data_Ti2BiPtCl
_cell_length_a 4.553
_cell_length_b 4.553
_cell_length_c 4.724
_cell_angle_alpha 90.00
_cell_angle_beta 90.00
_cell_angle_gamma 90.00
_space_group_name_H-M_alt 'P 4/m m m'
_space_group_IT_number 123
_space_group_name_Hall '-P 4 2'
loop_
_atom_site_label
_atom_site_fract_x
_atom_site_fract_y
_atom_site_fract_z
Ti1 0.000 0.500 0.000
Bi1 0.000 0.000 0.500
Pt1 0.500 0.500 0.500
Cl1 0.500 0.500 0.000
```

=====

No. 2
Computed, not measured: an optimized crystal structure of YBiPtCl2 at the GGA-PBE level of DFT.

Results
ΔE_f (raw) = -0.655 eV per atom
Final energy = -4.6711 eV/atom

The structure in CIF format:
```
data_YBiPtCl2
_cell_length_a 5.057
_cell_length_b 5.057
_cell_length_c 5.715
_cell_angle_alpha 90.00
_cell_angle_beta 90.00
_cell_angle_gamma 90.00
_space_group_name_H-M_alt 'P 4/m m m'
_space_group_IT_number 123
_space_group_name_Hall '-P 4 2'
loop_
_atom_site_label
_atom_site_fract_x
_atom_site_fract_y
_atom_site_fract_z
Y1 0.000 0.000 0.000
Bi1 0.500 0.500 0.500
Pt1 0.000 0.000 0.500
Cl1 0.000 0.500 0.000
```

=====

No. 3
Computed, not measured: an optimized crystal structure of Pu2BiCl at the GGA-PBE level of DFT.

Results
Energy relative to the lowest polymorph listed for this composition = 117 meV per atom
ΔE_f (raw) = -0.639 eV per atom
Final energy = -9.2365 eV/atom

The structure in CIF format:
```
data_Pu2BiCl
_cell_length_a 4.2626
_cell_length_b 4.2626
_cell_length_c 22.5271
_cell_angle_alpha 90.00
_cell_angle_beta 90.00
_cell_angle_gamma 120.00
_space_group_name_H-M_alt 'R 3 m'
_space_group_IT_number 160
_space_group_name_Hall 'R 3 -2"'
loop_
_atom_site_label
_atom_site_fract_x
_atom_site_fract_y
_atom_site_fract_z
Pu1 0.0000 0.0000 0.0000
Pu2 0.0000 0.0000 0.1566
Bi1 0.0000 0.0000 0.5792
Cl1 0.0000 0.0000 0.4061
```

=====

No. 4
Computed, not measured: an optimized crystal structure of Pu2BiCl at the GGA-PBE level of DFT.

Results
Energy relative to the lowest polymorph listed for this composition = 61 meV per atom
ΔE_f (raw) = -0.694 eV per atom
Final energy = -9.2921 eV/atom

The structure in CIF format:
```
data_Pu2BiCl
_cell_length_a 7.563
_cell_length_b 7.563
_cell_length_c 7.563
_cell_angle_alpha 90.00
_cell_angle_beta 90.00
_cell_angle_gamma 90.00
_space_group_name_H-M_alt 'F m -3 m'
_space_group_IT_number 225
_space_group_name_Hall '-F 4 2 3'
loop_
_atom_site_label
_atom_site_fract_x
_atom_site_fract_y
_atom_site_fract_z
Pu1 0.250 0.250 0.250
Bi1 0.000 0.000 0.000
Cl1 0.000 0.000 0.500
```

=====

No. 5
Computed, not measured: an optimized crystal structure of Pu7BiCl12 at the GGA-PBE level of DFT.

Results
ΔE_f (raw) = -1.591 eV per atom
Final energy = -7.9096 eV/atom

The structure in CIF format:
```
data_Pu7BiCl12
_cell_length_a 15.0045
_cell_length_b 15.0045
_cell_length_c 10.2935
_cell_angle_alpha 90.00
_cell_angle_beta 90.00
_cell_angle_gamma 120.00
_space_group_name_H-M_alt 'R -3'
_space_group_IT_number 148
_space_group_name_Hall '-R 3'
loop_
_atom_site_label
_atom_site_fract_x
_atom_site_fract_y
_atom_site_fract_z
Pu1 0.0000 0.0000 0.0000
Pu2 0.0442 0.1878 0.3279
Bi1 0.0000 0.0000 0.5000
Cl1 0.0318 0.5814 0.1616
Cl2 0.0394 0.1636 0.8284
```

=====

No. 6
Computed, not measured: an optimized crystal structure of Pu2BiCl at the GGA-PBE level of DFT.

Results
Energy relative to the lowest polymorph listed for this composition = 0 meV per atom
ΔE_f (raw) = -0.756 eV per atom
Final energy = -9.3536 eV/atom

The structure in CIF format:
```
data_Pu2BiCl
_cell_length_a 4.4952
_cell_length_b 4.4952
_cell_length_c 19.3694
_cell_angle_alpha 90.00
_cell_angle_beta 90.00
_cell_angle_gamma 120.00
_space_group_name_H-M_alt 'R -3 m'
_space_group_IT_number 166
_space_group_name_Hall '-R 3 2"'
loop_
_atom_site_label
_atom_site_fract_x
_atom_site_fract_y
_atom_site_fract_z
Pu1 0.0000 0.0000 0.2371
Bi1 0.0000 0.0000 0.0000
Cl1 0.0000 0.0000 0.5000
```

=====

No. 7
Computed, not measured: an optimized crystal structure of Pu2BiCl2 at the GGA-PBE level of DFT.

Results
ΔE_f (raw) = -1.194 eV per atom
Final energy = -8.4421 eV/atom

The structure in CIF format:
```
data_Pu2BiCl2
_cell_length_a 4.3446
_cell_length_b 4.3446
_cell_length_c 30.1955
_cell_angle_alpha 90.00
_cell_angle_beta 90.00
_cell_angle_gamma 120.00
_space_group_name_H-M_alt 'R -3 m'
_space_group_IT_number 166
_space_group_name_Hall '-R 3 2"'
loop_
_atom_site_label
_atom_site_fract_x
_atom_site_fract_y
_atom_site_fract_z
Pu1 0.0000 0.0000 0.1015
Bi1 0.0000 0.0000 0.5000
Cl1 0.0000 0.0000 0.2772
```

=====

No. 8
Computed, not measured: an optimized crystal structure of Pu2BiCl at the GGA-PBE level of DFT.

Results
Energy relative to the lowest polymorph listed for this composition = 100 meV per atom
ΔE_f (raw) = -0.655 eV per atom
Final energy = -9.2534 eV/atom

The structure in CIF format:
```
data_Pu2BiCl
_cell_length_a 5.608
_cell_length_b 5.608
_cell_length_c 3.447
_cell_angle_alpha 90.00
_cell_angle_beta 90.00
_cell_angle_gamma 90.00
_space_group_name_H-M_alt 'P 4/m m m'
_space_group_IT_number 123
_space_group_name_Hall '-P 4 2'
loop_
_atom_site_label
_atom_site_fract_x
_atom_site_fract_y
_atom_site_fract_z
Pu1 0.000 0.500 0.000
Bi1 0.000 0.000 0.500
Cl1 0.500 0.500 0.500
```

=====

No. 9
Computed, not measured: an optimized crystal structure of Rb3BiCl6 at the GGA-PBE level of DFT.

Results
ΔE_f (raw) = -1.624 eV per atom
Final energy = -3.4105 eV/atom

The structure in CIF format:
```
data_Rb3BiCl6
_cell_length_a 7.847
_cell_length_b 8.324
_cell_length_c 13.665
_cell_angle_alpha 90.00
_cell_angle_beta 124.55
_cell_angle_gamma 90.00
_space_group_name_H-M_alt 'P 1 21/c 1'
_space_group_IT_number 14
loop_
_space_group_symop_operation_xyz
'x,y,z'
'-x,-y,-z'
'-x,y+1/2,-z+1/2'
'x,-y+1/2,z+1/2'
loop_
_atom_site_label
_atom_site_fract_x
_atom_site_fract_y
_atom_site_fract_z
Rb1 0.000 0.000 0.000
Rb2 0.219 0.070 0.745
Bi1 0.500 0.000 0.500
Cl1 0.164 0.179 0.445
Cl2 0.258 0.728 0.426
Cl3 0.399 0.055 0.275
```

=====

No. 10
Computed, not measured: an optimized crystal structure of Rb2Bi2Cl7 at the GGA-PBE level of DFT.

Results
Energy relative to the lowest polymorph listed for this composition = 13 meV per atom
ΔE_f (raw) = -1.212 eV per atom
Final energy = -3.2683 eV/atom

The structure in CIF format:
```
data_Rb2Bi2Cl7
_cell_length_a 9.917
_cell_length_b 13.552
_cell_length_c 7.464
_cell_angle_alpha 90.00
_cell_angle_beta 94.67
_cell_angle_gamma 90.00
_space_group_name_H-M_alt 'C 1 2/m 1'
_space_group_IT_number 12
loop_
_space_group_symop_operation_xyz
'x,y,z'
'-x,-y,-z'
'-x,y,-z'
'x,-y,z'
'x+1/2,y+1/2,z'
'-x+1/2,-y+1/2,-z'
'-x+1/2,y+1/2,-z'
'x+1/2,-y+1/2,z'
loop_
_atom_site_label
_atom_site_fract_x
_atom_site_fract_y
_atom_site_fract_z
Rb1 0.000 0.198 0.000
Bi1 0.232 0.000 0.592
Cl1 0.000 0.500 0.500
Cl2 0.076 0.000 0.277
Cl3 0.229 0.332 0.230
```

=====

No. 11
Computed, not measured: an optimized crystal structure of RbBi2Cl at the GGA-PBE level of DFT.

Results
Energy relative to the lowest polymorph listed for this composition = 0 meV per atom
ΔE_f (raw) = -0.632 eV per atom
Final energy = -3.2756 eV/atom

The structure in CIF format:
```
data_RbBi2Cl
_cell_length_a 4.561
_cell_length_b 4.561
_cell_length_c 36.867
_cell_angle_alpha 90.00
_cell_angle_beta 90.00
_cell_angle_gamma 90.00
_space_group_name_H-M_alt 'I -4 2 d'
_space_group_IT_number 122
_space_group_name_Hall 'I -4 2bw'
loop_
_atom_site_label
_atom_site_fract_x
_atom_site_fract_y
_atom_site_fract_z
Rb1 0.000 0.000 0.000
Bi1 0.210 0.250 0.625
Cl1 0.000 0.000 0.500
```

=====

No. 12
Computed, not measured: an optimized crystal structure of Rb3BiCl8 at the GGA-PBE level of DFT.

Results
ΔE_f (raw) = -1.161 eV per atom
Final energy = -2.9574 eV/atom

The structure in CIF format:
```
data_Rb3BiCl8
_cell_length_a 7.450
_cell_length_b 7.450
_cell_length_c 15.391
_cell_angle_alpha 90.00
_cell_angle_beta 90.00
_cell_angle_gamma 90.00
_space_group_name_H-M_alt 'I 4/m m m'
_space_group_IT_number 139
_space_group_name_Hall '-I 4 2'
loop_
_atom_site_label
_atom_site_fract_x
_atom_site_fract_y
_atom_site_fract_z
Rb1 0.000 0.000 0.000
Rb2 0.000 0.500 0.250
Bi1 0.000 0.000 0.500
Cl1 0.220 0.220 0.390
```

=====

No. 13
Computed, not measured: an optimized crystal structure of Rb2Bi2Cl7 at the GGA-PBE level of DFT.

Results
Energy relative to the lowest polymorph listed for this composition = 0 meV per atom
ΔE_f (raw) = -1.224 eV per atom
Final energy = -3.2811 eV/atom

The structure in CIF format:
```
data_Rb2Bi2Cl7
_cell_length_a 12.020
_cell_length_b 9.133
_cell_length_c 7.108
_cell_angle_alpha 90.00
_cell_angle_beta 95.89
_cell_angle_gamma 90.00
_space_group_name_H-M_alt 'C 1 2/m 1'
_space_group_IT_number 12
loop_
_space_group_symop_operation_xyz
'x,y,z'
'-x,-y,-z'
'-x,y,-z'
'x,-y,z'
'x+1/2,y+1/2,z'
'-x+1/2,-y+1/2,-z'
'-x+1/2,y+1/2,-z'
'x+1/2,-y+1/2,z'
loop_
_atom_site_label
_atom_site_fract_x
_atom_site_fract_y
_atom_site_fract_z
Rb1 0.000 0.234 0.000
Bi1 0.242 0.000 0.565
Cl1 0.000 0.000 0.500
Cl2 0.053 0.500 0.284
Cl3 0.227 0.273 0.733
```

=====

No. 14
Computed, not measured: an optimized crystal structure of Rb3BiCl6 at the GGA-PBE level of DFT.

Results
ΔE_f (raw) = -1.558 eV per atom
Final energy = -3.3447 eV/atom

The structure in CIF format:
```
data_Rb3BiCl6
_cell_length_a 11.655
_cell_length_b 11.655
_cell_length_c 11.655
_cell_angle_alpha 90.00
_cell_angle_beta 90.00
_cell_angle_gamma 90.00
_space_group_name_H-M_alt 'F m -3 m'
_space_group_IT_number 225
_space_group_name_Hall '-F 4 2 3'
loop_
_atom_site_label
_atom_site_fract_x
_atom_site_fract_y
_atom_site_fract_z
Rb1 0.000 0.000 0.000
Rb2 0.250 0.250 0.250
Bi1 0.000 0.000 0.500
Cl1 0.000 0.000 0.267
```

=====

No. 15
Computed, not measured: an optimized crystal structure of RbBi2Cl at the GGA-PBE level of DFT.

Results
Energy relative to the lowest polymorph listed for this composition = 782 meV per atom
ΔE_f (raw) = 0.150 eV per atom
Final energy = -2.4939 eV/atom

The structure in CIF format:
```
data_RbBi2Cl
_cell_length_a 8.152
_cell_length_b 8.152
_cell_length_c 8.152
_cell_angle_alpha 90.00
_cell_angle_beta 90.00
_cell_angle_gamma 90.00
_space_group_name_H-M_alt 'F m -3 m'
_space_group_IT_number 225
_space_group_name_Hall '-F 4 2 3'
loop_
_atom_site_label
_atom_site_fract_x
_atom_site_fract_y
_atom_site_fract_z
Rb1 0.000 0.000 0.000
Bi1 0.250 0.250 0.250
Cl1 0.000 0.000 0.500
```

=====

No. 16
Computed, not measured: an optimized crystal structure of RbBi2Cl8 at the GGA-PBE level of DFT.

Results
Energy relative to the lowest polymorph listed for this composition = 0 meV per atom
ΔE_f (raw) = -1.045 eV per atom
Final energy = -3.1811 eV/atom

The structure in CIF format:
```
data_RbBi2Cl8
_cell_length_a 8.699
_cell_length_b 13.869
_cell_length_c 5.355
_cell_angle_alpha 90.00
_cell_angle_beta 90.09
_cell_angle_gamma 90.00
_space_group_name_H-M_alt 'C 1 2/m 1'
_space_group_IT_number 12
loop_
_space_group_symop_operation_xyz
'x,y,z'
'-x,-y,-z'
'-x,y,-z'
'x,-y,z'
'x+1/2,y+1/2,z'
'-x+1/2,-y+1/2,-z'
'-x+1/2,y+1/2,-z'
'x+1/2,-y+1/2,z'
loop_
_atom_site_label
_atom_site_fract_x
_atom_site_fract_y
_atom_site_fract_z
Rb1 0.000 0.000 0.000
Bi1 0.000 0.297 0.500
Cl1 0.000 0.253 0.000
Cl2 0.000 0.500 0.246
Cl3 0.189 0.136 0.501
```

=====

No. 17
Computed, not measured: an optimized crystal structure of RbBi2Cl8 at the GGA-PBE level of DFT.

Results
Energy relative to the lowest polymorph listed for this composition = 40 meV per atom
ΔE_f (raw) = -1.005 eV per atom
Final energy = -3.1413 eV/atom

The structure in CIF format:
```
data_RbBi2Cl8
_cell_length_a 11.710
_cell_length_b 8.298
_cell_length_c 7.925
_cell_angle_alpha 90.00
_cell_angle_beta 97.81
_cell_angle_gamma 90.00
_space_group_name_H-M_alt 'C 1 2/m 1'
_space_group_IT_number 12
loop_
_space_group_symop_operation_xyz
'x,y,z'
'-x,-y,-z'
'-x,y,-z'
'x,-y,z'
'x+1/2,y+1/2,z'
'-x+1/2,-y+1/2,-z'
'-x+1/2,y+1/2,-z'
'x+1/2,-y+1/2,z'
loop_
_atom_site_label
_atom_site_fract_x
_atom_site_fract_y
_atom_site_fract_z
Rb1 0.000 0.000 0.000
Bi1 0.168 0.500 0.424
Cl1 0.053 0.500 0.725
Cl2 0.131 0.178 0.383
Cl3 0.247 0.500 0.139
```

=====

No. 18
Computed, not measured: an optimized crystal structure of RbBi3Cl at the GGA-PBE level of DFT.

Results
ΔE_f (raw) = 1.187 eV per atom
Final energy = -1.7043 eV/atom

The structure in CIF format:
```
data_RbBi3Cl
_cell_length_a 6.313
_cell_length_b 6.313
_cell_length_c 6.313
_cell_angle_alpha 90.00
_cell_angle_beta 90.00
_cell_angle_gamma 90.00
_space_group_name_H-M_alt 'P m -3 m'
_space_group_IT_number 221
_space_group_name_Hall '-P 4 2 3'
loop_
_atom_site_label
_atom_site_fract_x
_atom_site_fract_y
_atom_site_fract_z
Rb1 0.000 0.000 0.000
Bi1 0.000 0.000 0.500
Cl1 0.500 0.500 0.500
```

=====

No. 19
Computed, not measured: an optimized crystal structure of RbBi2Cl7 at the GGA-PBE level of DFT.

Results
ΔE_f (raw) = -1.168 eV per atom
Final energy = -3.3340 eV/atom

The structure in CIF format:
```
data_RbBi2Cl7
_cell_length_a 8.752
_cell_length_b 13.940
_cell_length_c 5.436
_cell_angle_alpha 90.00
_cell_angle_beta 90.00
_cell_angle_gamma 90.00
_space_group_name_H-M_alt 'C m m m'
_space_group_IT_number 65
_space_group_name_Hall '-C 2 2'
loop_
_atom_site_label
_atom_site_fract_x
_atom_site_fract_y
_atom_site_fract_z
Rb1 0.000 0.000 0.000
Bi1 0.000 0.299 0.500
Cl1 0.000 0.282 0.000
Cl2 0.000 0.500 0.500
Cl3 0.187 0.138 0.500
```

=====

No. 20
Computed, not measured: an optimized crystal structure of Rb2BiCl6 at the GGA-PBE level of DFT.

Results
ΔE_f (raw) = -1.278 eV per atom
Final energy = -3.1556 eV/atom

The structure in CIF format:
```
data_Rb2BiCl6
_cell_length_a 7.200
_cell_length_b 7.200
_cell_length_c 14.126
_cell_angle_alpha 90.00
_cell_angle_beta 90.00
_cell_angle_gamma 90.00
_space_group_name_H-M_alt 'P 42/m n m'
_space_group_IT_number 136
_space_group_name_Hall '-P 4n 2n'
loop_
_atom_site_label
_atom_site_fract_x
_atom_site_fract_y
_atom_site_fract_z
Rb1 0.000 0.000 0.166
Bi1 0.000 0.000 0.500
Cl1 0.178 0.178 0.364
Cl2 0.241 0.241 0.000
```